Density functional theory data (PBE-GGA) for Sc2Cu2Te after structural relaxation.

Calculated values
- Volume: 209.1 Å³/cell
- Uncorrected formation energy: -243 meV per atom
- E: -5.043 eV per atom
- Symmetry: P4/mbm, No. 127
- ρ: 5.47 g/cm3
- Distance to the lowest polymorph of the same formula: 4.31 kcal/mol of atoms

Cell: 7.4231 7.4231 3.7951 Å, 90.00 90.00 90.00°
Last column: nearest neighbours and their distance in Å.
Fractional positions:
Sc  0.1610  0.3390  0.0000  2 Te 2.79, 6 Cu 2.84-2.97
Sc  0.3390  0.8390  0.0000  2 Te 2.79, 6 Cu 2.84-2.97
Sc  0.6610  0.1610  0.0000  2 Te 2.79, 6 Cu 2.84-2.97
Sc  0.8390  0.6610  0.0000  2 Te 2.79, 6 Cu 2.84-2.97
Cu  0.1208  0.6208  0.5000  1 Cu 2.54, 4 Sc 2.84
Cu  0.3792  0.1208  0.5000  1 Cu 2.54, 4 Sc 2.84
Cu  0.6208  0.8792  0.5000  1 Cu 2.54, 4 Sc 2.84
Cu  0.8792  0.3792  0.5000  1 Cu 2.54, 4 Sc 2.84
Te  0.0000  0.0000  0.0000  4 Sc 2.79
Te  0.5000  0.5000  0.0000  4 Sc 2.79

---

Density functional theory data (PBE-GGA) for Sr2Sm2O5 after structural relaxation.

Calculated values
- Volume: 273.5 Å³/cell
- Uncorrected formation energy: -3045 meV per atom
- E: -7.222 eV per atom
- Symmetry: Cmce, No. 64
- ρ: 6.75 g/cm3

Cell: 6.9843 6.9843 6.6871 Å, 90.00 90.00 56.99°
Last column: nearest neighbours and their distance in Å.
Fractional positions:
Sr  0.2046  0.2046  0.0000  7 O 2.51-2.73
Sr  0.2954  0.2954  0.5000  7 O 2.51-2.73
Sr  0.7046  0.7046  0.5000  7 O 2.51-2.73
Sr  0.7954  0.7954  0.0000  7 O 2.51-2.73
Sm  0.1680  0.8320  0.6680  4 O 2.29-2.49
Sm  0.3320  0.6680  0.1680  4 O 2.29-2.49
Sm  0.6680  0.3320  0.8320  4 O 2.29-2.49
Sm  0.8320  0.1680  0.3320  4 O 2.29-2.49
O  0.0000  0.0000  0.0000  4 Sm 2.48-2.49, 2 Sr 2.51
O  0.0294  0.7183  0.3486  1 Sm 2.29, 1 Sr 2.53
O  0.2183  0.5294  0.8486  1 Sm 2.29, 1 Sr 2.53
O  0.2817  0.9706  0.3486  1 Sm 2.29, 1 Sr 2.53
O  0.4706  0.7817  0.8486  1 Sm 2.29, 1 Sr 2.53
O  0.5000  0.5000  0.5000  4 Sm 2.48-2.49, 2 Sr 2.51
O  0.5294  0.2183  0.1514  1 Sm 2.29, 1 Sr 2.53
O  0.7183  0.0294  0.6514  1 Sm 2.29, 1 Sr 2.53
O  0.7817  0.4706  0.1514  1 Sm 2.29, 1 Sr 2.53
O  0.9706  0.2817  0.6514  1 Sm 2.29, 1 Sr 2.53

---

Density functional theory data (PBE-GGA) for CrGa3Co4 after structural relaxation.

Calculated values
- Volume: 95.0 Å³/cell
- E: -6.072 eV per atom
- Symmetry: P4/mmm, No. 123
- ρ: 8.68 g/cm3
- Formation energy: -0.181 eV/atom

Cell: 2.8741 2.8741 11.5017 Å, 90.00 90.00 90.00°
Last column: nearest neighbours and their distance in Å.
Fractional positions:
Cr  0.0000  0.0000  0.0000  8 Co 2.45
Ga  0.0000  0.0000  0.2457  8 Co 2.50-2.51
Ga  0.0000  0.0000  0.5000  8 Co 2.49
Ga  0.0000  0.0000  0.7543  8 Co 2.50-2.51
Co  0.5000  0.5000  0.1196  4 Cr 2.45, 4 Ga 2.50
Co  0.5000  0.5000  0.3742  8 Ga 2.49-2.51
Co  0.5000  0.5000  0.6258  8 Ga 2.49-2.51
Co  0.5000  0.5000  0.8804  4 Cr 2.45, 4 Ga 2.50

---

Density functional theory data (PBE-GGA) for KVI2N after structural relaxation.

Calculated values
- Volume: 130.4 Å³/cell
- Uncorrected formation energy: -488 meV per atom
- E: -4.816 eV per atom
- Symmetry: P4/mmm, No. 123
- ρ: 4.56 g/cm3
- Distance to the lowest polymorph of the same formula: 0.00 kcal/mol of atoms

Cell: 5.8833 5.8833 3.7666 Å, 90.00 90.00 90.00°
Last column: nearest neighbours and their distance in Å.
Fractional positions:
K  0.0000  0.0000  0.0000  8 I 3.49, 2 K 3.77
V  0.5000  0.5000  0.5000  2 N 1.88
I  0.0000  0.5000  0.5000  2 V 2.94
I  0.5000  0.0000  0.5000  2 V 2.94
N  0.5000  0.5000  0.0000  2 V 1.88

---

Density functional theory data (PBE-GGA) for SrMg2Cd after structural relaxation.

Calculated values
- Volume: 117.2 Å³/cell
- E: -1.543 eV per atom
- Symmetry: Amm2, No. 38
- ρ: 3.52 g/cm3
- Formation energy: -0.096 eV/atom

Cell: 4.7642 6.8992 6.8992 Å, 31.12 90.00 90.00°
Last column: nearest neighbours and their distance in Å.
Fractional positions:
Sr  0.0000  0.0000  0.0000  4 Cd 3.41, 7 Mg 3.42-3.81, 2 Sr 3.70
Mg  0.0000  0.7424  0.7424  2 Cd 2.89, 4 Mg 3.21
Mg  0.5000  0.3253  0.3253  4 Mg 3.21, 2 Cd 3.30
Cd  0.5000  0.6198  0.6198  2 Mg 2.89

---

Density functional theory data (PBE-GGA) for RbAsH3 after structural relaxation.

Calculated values
- Volume: 113.9 Å³/cell
- E: -3.033 eV per atom
- Symmetry: R3m, No. 160
- ρ: 2.38 g/cm3
- Distance to the lowest polymorph of the same formula: 4.94 kcal/mol of atoms

Cell: 6.7957 6.7957 6.7957 Å, 39.42 39.42 39.42°
Last column: nearest neighbours and their distance in Å.
Fractional positions:
Rb  0.0000  0.0000  0.0000  3 H 3.04
As  0.8054  0.8054  0.8054  3 H 1.59
H  0.0175  0.0175  0.5255  1 As 1.59
H  0.0175  0.5255  0.0175  1 As 1.59
H  0.5255  0.0175  0.0175  1 As 1.59

---

Density functional theory data (PBE-GGA) for Ca2CuH after structural relaxation.

Calculated values
- Volume: 85.6 Å³/cell
- E: -2.937 eV per atom
- Symmetry: R-3m, No. 166
- ρ: 2.81 g/cm3
- Distance to the lowest polymorph of the same formula: 0.22 kcal/mol of atoms

Cell: 7.1732 7.1732 7.1732 Å, 30.76 30.76 30.76°
Last column: nearest neighbours and their distance in Å.
Fractional positions:
Ca  0.2393  0.2393  0.2393  3 H 2.65, 3 Cu 2.92
Ca  0.7607  0.7607  0.7607  3 H 2.65, 3 Cu 2.92
Cu  0.0000  0.0000  0.0000  6 Ca 2.92
H  0.5000  0.5000  0.5000  6 Ca 2.65

---

Density functional theory data (PBE-GGA) for Th4TcPb after structural relaxation.

Calculated values
- Volume: 357.3 Å³/cell
- E: -7.450 eV per atom
- Symmetry: P2_1/m, No. 11
- ρ: 11.46 g/cm3
- Formation energy: -0.157 eV/atom
- Distance to the lowest polymorph of the same formula: 0.00 kcal/mol of atoms

Cell: 6.0827 6.8814 8.6902 Å, 90.00 100.79 90.00°
Last column: nearest neighbours and their distance in Å.
Fractional positions:
Th  0.1288  0.2500  0.0535  1 Tc 2.76
Th  0.1761  0.7500  0.3552  1 Tc 2.83
Th  0.3644  0.5165  0.7724  2 Tc 2.81-3.06
Th  0.3644  0.9835  0.7724  2 Tc 2.81-3.06
Th  0.6356  0.0165  0.2276  2 Tc 2.81-3.06
Th  0.6356  0.4835  0.2276  2 Tc 2.81-3.06
Th  0.8239  0.2500  0.6448  1 Tc 2.83
Th  0.8712  0.7500  0.9465  1 Tc 2.76
Tc  0.3256  0.7500  0.0661  6 Th 2.76-3.06
Tc  0.6744  0.2500  0.9339  6 Th 2.76-3.06
Pb  0.2409  0.2500  0.4337  8 Th 3.25-3.63
Pb  0.7591  0.7500  0.5663  8 Th 3.25-3.63

---

Density functional theory data (PBE-GGA) for Li3Ac2In6 after structural relaxation.

Calculated values
- Volume: 288.7 Å³/cell
- E: -3.052 eV per atom
- Symmetry: P-62m, No. 189
- ρ: 6.69 g/cm3
- Formation energy: -0.289 eV/atom

Cell: 8.5937 8.5937 4.5141 Å, 90.00 90.00 120.00°
Last column: nearest neighbours and their distance in Å.
Fractional positions:
Li  0.0000  0.6301  0.0000  5 In 2.68-2.95
Li  0.3699  0.3699  0.0000  5 In 2.68-2.95
Li  0.6301  0.0000  0.0000  5 In 2.68-2.95
Ac  0.3333  0.6667  0.5000  6 Li 3.54, 9 In 3.57-3.73
Ac  0.6667  0.3333  0.5000  6 Li 3.54, 9 In 3.57-3.73
In  0.0000  0.3099  0.0000  3 Li 2.75-2.95
In  0.0000  0.7988  0.5000  2 Li 2.68, 2 In 3.00
In  0.2012  0.2012  0.5000  2 Li 2.68, 2 In 3.00
In  0.3099  0.0000  0.0000  3 Li 2.75-2.95
In  0.6901  0.6901  0.0000  3 Li 2.75-2.95
In  0.7988  0.0000  0.5000  2 Li 2.68, 2 In 3.00

---

Density functional theory data (PBE-GGA) for La2InHg3 after structural relaxation.

Calculated values
- Volume: 328.3 Å³/cell
- E: -2.741 eV per atom
- Symmetry: Fmmm, No. 69
- ρ: 10.06 g/cm3
- Formation energy: -0.492 eV/atom

Cell: 10.1252 9.5183 6.2679 Å, 76.74 66.21 37.05°
Last column: nearest neighbours and their distance in Å.
Fractional positions:
La  0.2407  0.7593  0.7593  10 Hg 3.44-3.48, 2 In 3.49, 2 La 3.56-3.84
La  0.2500  0.2500  0.2500  8 Hg 3.45-3.46, 4 In 3.46, 2 La 3.70
La  0.7500  0.7500  0.7500  8 Hg 3.45-3.46, 4 In 3.46, 2 La 3.70
La  0.7593  0.2407  0.2407  10 Hg 3.44-3.48, 2 In 3.49, 2 La 3.56-3.84
In  0.3341  0.3341  0.6659  3 Hg 2.90-2.92
In  0.6659  0.6659  0.3341  3 Hg 2.90-2.92
Hg  0.1676  0.1676  0.8324  1 In 2.92, 2 Hg 2.95
Hg  0.1687  0.6646  0.3354  1 In 2.90, 2 Hg 2.92-2.95
Hg  0.3354  0.8313  0.1687  1 In 2.90, 2 Hg 2.92-2.95
Hg  0.6646  0.1687  0.8313  1 In 2.90, 2 Hg 2.92-2.95
Hg  0.8313  0.3354  0.6646  1 In 2.90, 2 Hg 2.92-2.95
Hg  0.8324  0.8324  0.1676  1 In 2.92, 2 Hg 2.95

---

Density functional theory data (PBE-GGA) for MnCdSn after structural relaxation.

Calculated values
- Volume: 67.5 Å³/cell
- E: -4.522 eV per atom
- Symmetry: F-43m, No. 216
- ρ: 7.04 g/cm3
- Formation energy: 0.174 eV/atom

Cell: 4.5698 4.5698 4.5698 Å, 60.00 60.00 60.00°
Last column: nearest neighbours and their distance in Å.
Fractional positions:
Mn  0.0000  0.0000  0.0000  4 Cd 2.80, 4 Sn 2.80
Cd  0.2500  0.2500  0.2500  4 Mn 2.80
Sn  0.7500  0.7500  0.7500  4 Mn 2.80

---

Density functional theory data (PBE-GGA) for YRuSe2 after structural relaxation.

Calculated values
- Volume: 81.4 Å³/cell
- Uncorrected formation energy: -742 meV per atom
- E: -6.420 eV per atom
- Symmetry: P4mm, No. 99
- ρ: 7.10 g/cm3
- Distance to the lowest polymorph of the same formula: 1.42 kcal/mol of atoms

Cell: 3.7555 3.7555 5.7703 Å, 90.00 90.00 90.00°
Last column: nearest neighbours and their distance in Å.
Fractional positions:
Y  0.0000  0.0000  0.0000  5 Se 2.71-2.79
Ru  0.5000  0.5000  0.3674  6 Se 2.72-2.97
Se  0.0000  0.0000  0.4700  1 Y 2.71, 4 Ru 2.72
Se  0.5000  0.5000  0.8522  4 Y 2.79, 2 Ru 2.80-2.97